Record 1
Ba2CdI6 | PBE | optimized geometry

Calculated volume   779.8 Å³ per cell
E_form (uncorrected)   -1374 meV/atom
DOS at the Fermi energy   0.00 states/eV/atom
Density   4.9 g/cm³
Crystal system   monoclinic
Final energy   -2.94 eV per atom

a = 7.8204 Å, b = 9.0355 Å, c = 13.4167 Å
α = 90.00°, β = 124.66°, γ = 90.00°
Last column: nearest neighbours and their distance in Å.
Atoms (fractional coordinates):
Ba1 0.2139 0.1131 0.2546  8 I 3.50-3.82
Ba2 0.2139 0.3869 0.7546  8 I 3.50-3.82
Ba3 0.7861 0.6131 0.2454  8 I 3.50-3.82
Ba4 0.7861 0.8869 0.7454  8 I 3.50-3.82
Cd1 0.5000 0.0000 0.0000  6 I 2.94-3.14
Cd2 0.5000 0.5000 0.5000  6 I 2.94-3.14
I1 0.1180 0.1682 0.9440  1 Cd 3.04
I2 0.1180 0.3318 0.4440  1 Cd 3.04
I3 0.2815 0.6909 0.9461  1 Cd 3.14
I4 0.2815 0.8091 0.4461  1 Cd 3.14
I5 0.3599 0.0240 0.7457  1 Cd 2.94
I6 0.3599 0.4760 0.2457  1 Cd 2.94
I7 0.6401 0.5240 0.7543  1 Cd 2.94
I8 0.6401 0.9760 0.2543  1 Cd 2.94
I9 0.7185 0.1909 0.5539  1 Cd 3.14
I10 0.7185 0.3091 0.0539  1 Cd 3.14
I11 0.8820 0.6682 0.5560  1 Cd 3.04
I12 0.8820 0.8318 0.0560  1 Cd 3.04


Record 2
Ba2Cd2I | PBE | optimized geometry

Calculated volume   441.2 Å³ per cell
Relative energy among the computed polymorphs   0.199 eV per atom
E_form (uncorrected)   -576 meV/atom
DOS at the Fermi energy   1.00 states/eV/atom
Density   4.7 g/cm³
Crystal system   tetragonal
Final energy   -2.02 eV per atom

a = 9.6971 Å, b = 9.6971 Å, c = 4.6915 Å
α = 90.00°, β = 90.00°, γ = 90.00°
Last column: nearest neighbours and their distance in Å.
Atoms (fractional coordinates):
Ba1 0.1887 0.3113 0.0000  2 I 3.53, 6 Cd 3.68-3.77
Ba2 0.3113 0.8113 0.0000  2 I 3.53, 6 Cd 3.68-3.77
Ba3 0.6887 0.1887 0.0000  2 I 3.53, 6 Cd 3.68-3.77
Ba4 0.8113 0.6887 0.0000  2 I 3.53, 6 Cd 3.68-3.77
Cd1 0.1042 0.6042 0.5000  1 Cd 2.86
Cd2 0.3958 0.1042 0.5000  1 Cd 2.86
Cd3 0.6042 0.8958 0.5000  1 Cd 2.86
Cd4 0.8958 0.3958 0.5000  1 Cd 2.86
I1 0.0000 0.0000 0.0000  4 Ba 3.53
I2 0.5000 0.5000 0.0000  4 Ba 3.53


Repeat the first record exactly.
Ba2CdI6 | PBE | optimized geometry

Calculated volume   779.8 Å³ per cell
E_form (uncorrected)   -1374 meV/atom
DOS at the Fermi energy   0.00 states/eV/atom
Density   4.9 g/cm³
Crystal system   monoclinic
Final energy   -2.94 eV per atom

a = 7.8204 Å, b = 9.0355 Å, c = 13.4167 Å
α = 90.00°, β = 124.66°, γ = 90.00°
Last column: nearest neighbours and their distance in Å.
Atoms (fractional coordinates):
Ba1 0.2139 0.1131 0.2546  8 I 3.50-3.82
Ba2 0.2139 0.3869 0.7546  8 I 3.50-3.82
Ba3 0.7861 0.6131 0.2454  8 I 3.50-3.82
Ba4 0.7861 0.8869 0.7454  8 I 3.50-3.82
Cd1 0.5000 0.0000 0.0000  6 I 2.94-3.14
Cd2 0.5000 0.5000 0.5000  6 I 2.94-3.14
I1 0.1180 0.1682 0.9440  1 Cd 3.04
I2 0.1180 0.3318 0.4440  1 Cd 3.04
I3 0.2815 0.6909 0.9461  1 Cd 3.14
I4 0.2815 0.8091 0.4461  1 Cd 3.14
I5 0.3599 0.0240 0.7457  1 Cd 2.94
I6 0.3599 0.4760 0.2457  1 Cd 2.94
I7 0.6401 0.5240 0.7543  1 Cd 2.94
I8 0.6401 0.9760 0.2543  1 Cd 2.94
I9 0.7185 0.1909 0.5539  1 Cd 3.14
I10 0.7185 0.3091 0.0539  1 Cd 3.14
I11 0.8820 0.6682 0.5560  1 Cd 3.04
I12 0.8820 0.8318 0.0560  1 Cd 3.04


> Which value of final energy does entry 1 give?

-2.94 eV per atom


> Which of these has the highest density?

Ba2CdI6


> The lowest density belongs to which entry?

Ba2Cd2I